1.
VASP calculation (PBE) on an optimized crystal structure of Sr3H2PdO6.

Calculated values
Crystal system = trigonal
Total moment = 0.0 μB/f.u.

Unit cell a=5.3747 b=5.3747 c=6.3439 alpha=90.00 beta=90.00 gamma=120.00
Space group P-3m1 (No. 164)
Asymmetric unit:
Sr1 0.0000 0.0000 0.0000 [1 per cell]
Sr2 0.3333 0.6667 0.6574 [2 per cell]
H1 0.3333 0.6667 0.2981 [2 per cell]
Pd1 0.0000 0.0000 0.5000 [1 per cell]
O1 0.1761 0.3523 0.2985 [6 per cell]


2.
VASP calculation (PBE) on an optimized crystal structure of BeCd3Pt12.

Calculated values
Crystal system = tetragonal
N(E_F) = 0.83 states/eV/atom
Energy of formation = -3.35 eV per formula unit
Total moment = 0.0 μB/f.u.

Unit cell a=4.0074 b=4.0074 c=15.8787 alpha=90.00 beta=90.00 gamma=90.00
Space group P4/mmm (No. 123)
Asymmetric unit:
Be1 0.0000 0.0000 0.0000 [1 per cell]
Cd1 0.0000 0.0000 0.2423 [2 per cell]
Cd2 0.0000 0.0000 0.5000 [1 per cell]
Pt1 0.0000 0.5000 0.1122 [4 per cell]
Pt2 0.0000 0.5000 0.3714 [4 per cell]
Pt3 0.5000 0.5000 0.0000 [1 per cell]
Pt4 0.5000 0.5000 0.2427 [2 per cell]
Pt5 0.5000 0.5000 0.5000 [1 per cell]


3.
VASP calculation (PBE) on an optimized crystal structure of Mg2IrSeI.

Calculated values
Crystal system = tetragonal
N(E_F) = 0.24 states/eV/atom
Total moment = 0.0 μB/f.u.
E_form (uncorrected) = -0.293 eV per atom

Unit cell a=5.3604 b=5.3604 c=4.5404 alpha=90.00 beta=90.00 gamma=90.00
Space group P4/mmm (No. 123)
Asymmetric unit:
Mg1 0.0000 0.5000 0.0000 [2 per cell]
Ir1 0.0000 0.0000 0.0000 [1 per cell]
Se1 0.0000 0.0000 0.5000 [1 per cell]
I1 0.5000 0.5000 0.5000 [1 per cell]


4.
VASP calculation (PBE) on an optimized crystal structure of CaMnPt3.

Calculated values
Crystal system = cubic
N(E_F) = 1.15 states/eV/atom
Energy of formation = 0.65 eV per formula unit
Total moment = 0.0 μB/f.u.
Offset from the most stable computed form = 0 meV per atom

Unit cell a=4.6556 b=4.6556 c=4.6556 alpha=90.00 beta=90.00 gamma=90.00
Space group Pm-3m (No. 221)
Asymmetric unit:
Ca1 0.0000 0.0000 0.0000 [1 per cell]
Mn1 0.5000 0.5000 0.5000 [1 per cell]
Pt1 0.0000 0.5000 0.5000 [3 per cell]


5.
VASP calculation (PBE) on an optimized crystal structure of Tb2PuSe.

Calculated values
Crystal system = trigonal
N(E_F) = 2.68 states/eV/atom
Total moment = 6.5 μB/f.u.
E_form (uncorrected) = -0.448 eV per atom

Unit cell a=3.6972 b=3.6972 c=30.8696 alpha=90.00 beta=90.00 gamma=120.00
Space group R-3m (No. 166, hexagonal axes)
Asymmetric unit:
Tb1 0.0000 0.0000 0.1070 [6 per cell]
Pu1 0.0000 0.0000 0.0000 [3 per cell]
Se1 0.0000 0.0000 0.5000 [3 per cell]


6.
VASP calculation (PBE) on an optimized crystal structure of PrS14I.

Calculated values
Crystal system = monoclinic
N(E_F) = 0.27 states/eV/atom
Total moment = 0.0 μB/f.u.
E_form (uncorrected) = -0.108 eV per atom

Unit cell a=17.5493 b=16.6901 c=8.3689 alpha=90.00 beta=113.92 gamma=90.00
Space group C2/c (No. 15)
Asymmetric unit:
Pr1 0.0000 0.0000 0.0000 [4 per cell]
S1 0.0499 0.4193 0.3658 [8 per cell]
S2 0.0620 0.1476 0.3574 [8 per cell]
S3 0.0867 0.1593 0.9894 [8 per cell]
S4 0.1152 0.0654 0.8580 [8 per cell]
S5 0.1298 0.4866 0.8436 [8 per cell]
S6 0.1399 0.0928 0.2603 [8 per cell]
S7 0.1971 0.4747 0.2227 [8 per cell]
I1 0.0000 0.2840 0.7500 [4 per cell]


Total DFT energy (no corrections) across the listed records, respectively: -5.404 -5.145 -3.710 -5.729 -7.217 -4.115 eV per atom.